A:
{"formula": "BeHgS2Cl", "functional": "PBE-GGA", "state": "optimized geometry", "dos_ef_per_ev_cell": 3.78, "spacegroup": "No. 123", "density_g_cm3": 4.03, "m_tot_mub_per_fu": 0.0, "cell": [[5.020, 0.000, 0.000], [0.000, 5.020, 0.000], [0.000, 0.000, 5.053]], "species": ["S", "S", "Be", "Cl", "Hg"], "frac_coords": [[0.000, 0.500, 0.000], [0.500, 0.000, 0.000], [0.500, 0.500, 0.500], [0.000, 0.000, 0.500], [0.000, 0.000, 0.000]]}


B:
{"formula": "BeHgS2Cl", "functional": "PBE-GGA", "state": "optimized geometry", "dos_ef_per_ev_cell": 3.32, "spacegroup": "No. 123", "density_g_cm3": 5.62, "m_tot_mub_per_fu": 0.0, "cell": [[-3.349, -3.139, -0.262], [2.720, -2.689, -2.551], [1.493, -1.892, 3.587]], "species": ["Cl", "S", "S", "Hg", "Be"], "frac_coords": [[0.000, 0.000, 0.500], [0.000, 0.500, 0.000], [0.500, 0.000, 0.000], [0.500, 0.500, 0.500], [0.000, 0.000, 0.000]]}


Relative energies, meV/atom: A 898; B 0.


A:
{"formula": "YBeHg2Cl", "functional": "PBE-GGA", "state": "optimized geometry", "dos_ef_per_ev_cell": 3.98, "spacegroup": "No. 123", "density_g_cm3": 4.42, "m_tot_mub_per_fu": 0.0, "cell": [[6.023, 0.000, 0.000], [0.000, 5.536, 0.000], [0.000, 0.000, 6.023]], "species": ["Y", "Cl", "Hg", "Hg", "Be"], "frac_coords": [[0.000, 0.000, 0.000], [0.500, 0.500, 0.500], [0.000, 0.000, 0.500], [0.500, 0.000, 0.000], [0.000, 0.500, 0.000]]}


B:
{"formula": "YBeHg2Cl", "functional": "PBE-GGA", "state": "optimized geometry", "dos_ef_per_ev_cell": 3.08, "spacegroup": "No. 123", "density_g_cm3": 7.94, "m_tot_mub_per_fu": 0.0, "cell": [[-0.565, 4.292, 1.790], [-4.630, 0.267, -2.100], [-1.864, -1.861, 3.874]], "species": ["Cl", "Y", "Hg", "Hg", "Be"], "frac_coords": [[0.000, 0.500, 0.000], [0.500, 0.500, 0.500], [0.000, 0.000, 0.500], [0.500, 0.000, 0.000], [0.000, 0.000, 0.000]]}


Relative energies, meV/atom: A 709; B 0.


A:
{"formula": "Be2ICl", "functional": "PBE-GGA", "state": "optimized geometry", "dos_ef_per_ev_cell": 3.49, "spacegroup": "No. 122", "density_g_cm3": 3.94, "m_tot_mub_per_fu": 0.0, "cell": [[-3.787, -0.517, 5.319], [-5.310, -0.366, -3.817], [-4.225, -3.969, 0.639]], "species": ["I", "I", "Cl", "Cl", "Be", "Be", "Be", "Be"], "frac_coords": [[0.750, 0.250, 0.500], [0.000, 0.000, 0.000], [0.250, 0.750, 0.500], [0.500, 0.500, 0.000], [0.153, 0.625, 0.250], [0.597, 0.125, 0.250], [0.875, 0.847, 0.750], [0.375, 0.403, 0.750]]}


B:
{"formula": "Be2ICl", "functional": "PBE-GGA", "state": "optimized geometry", "dos_ef_per_ev_cell": 1.62, "spacegroup": "No. 225", "density_g_cm3": 4.17, "m_tot_mub_per_fu": 0.0, "cell": [[0.433, 2.518, 3.904], [-3.040, 3.418, 0.921], [-3.097, -0.500, 3.454]], "species": ["I", "Cl", "Be", "Be"], "frac_coords": [[0.500, 0.500, 0.500], [0.000, 0.000, 0.000], [0.750, 0.750, 0.750], [0.250, 0.250, 0.250]]}


Relative energies, meV/atom: A 0; B 234.